# Dy2I3

An optimized crystal structure of Dy2I3 (PBE-GGA, Alexandria via LeMat-Bulk).

a b c (Å): 19.8301 4.0661 12.1600
angles (deg): 90.00 124.95 90.00
Last column: nearest neighbours and their distance in Å.
Space group C2/m (No. 12)
Asymmetric unit:
Dy1 0.0662 0.0000 0.4607 x4  4 I 3.12-3.13, 1 Dy 3.27
Dy2 0.1301 0.5000 0.7743 x4  5 I 3.10-3.31
I1 0.0328 0.5000 0.2404 x4  3 Dy 3.12-3.13
I2 0.1675 0.0000 0.0032 x4  3 Dy 3.17-3.31
I3 0.2118 0.5000 0.6208 x4  3 Dy 3.10-3.13

Energy above the most stable polymorph in this dataset ... 27.0 meV per atom
VASP energy ... -76.88 eV/cell
Spin magnetization ... 0.0 μB/f.u.
ΔE_f (raw) ... -1073 meV/atom

---

# PrAsAu

An optimized crystal structure of PrAsAu (PBE-GGA, Alexandria via LeMat-Bulk).

a b c (Å): 4.4317 4.4317 4.1633
angles (deg): 90.00 90.00 120.00
Last column: nearest neighbours and their distance in Å.
Space group P3m1 (No. 156)
Asymmetric unit:
Pr1 0.0000 0.0000 0.0000 x1  6 Au 3.29-3.31, 6 As 3.29-3.31
As1 0.6667 0.3333 0.4968 x1  3 Au 2.56
Au1 0.3333 0.6667 0.5041 x1  3 As 2.56

VASP energy ... -15.45 eV/cell
Spin magnetization ... 0.0 μB/f.u.
Formation energy ... -0.91 eV/atom

---

Please write out number 2 again, unchanged.
# PrAsAu

An optimized crystal structure of PrAsAu (PBE-GGA, Alexandria via LeMat-Bulk).

a b c (Å): 4.4317 4.4317 4.1633
angles (deg): 90.00 90.00 120.00
Last column: nearest neighbours and their distance in Å.
Space group P3m1 (No. 156)
Asymmetric unit:
Pr1 0.0000 0.0000 0.0000 x1  6 Au 3.29-3.31, 6 As 3.29-3.31
As1 0.6667 0.3333 0.4968 x1  3 Au 2.56
Au1 0.3333 0.6667 0.5041 x1  3 As 2.56

VASP energy ... -15.45 eV/cell
Spin magnetization ... 0.0 μB/f.u.
Formation energy ... -0.91 eV/atom

---

Q: Which formula does entry 1 have?
A: Dy2I3

---

Q: Which value of spin magnetization does entry 2 give?
A: 0.0 μB/f.u.

---

Q: What is the VASP energy in the first record?
A: -76.88 eV/cell